No. 1
Below is a relaxed K2TaMoO6 crystal, with properties calculated at the PBE+U level.

Output
**Magnetic moment**: 1.0 μB/f.u.
**Uncorrected energy**: -218.639 eV/cell
**Fermi-level density of states**: 4.19 states/eV/cell

Cell and atoms, written as CIF:
```
data_K2TaMoO6
_chemical_formula_sum 'K6 Ta3 Mo3 O18'
_space_group_name_H-M_alt 'R -3 m'
_space_group_IT_number 166
_space_group_name_Hall '-R 3 2"'
_cell_length_a 5.7087
_cell_length_b 5.7087
_cell_length_c 13.8172
_cell_angle_alpha 90.00
_cell_angle_beta 90.00
_cell_angle_gamma 120.00
loop_
_atom_site_label
_atom_site_fract_x
_atom_site_fract_y
_atom_site_fract_z
_atom_site_occupancy
K1 0.0000 0.0000 0.2492 1
Ta1 0.0000 0.0000 0.5000 1
Mo1 0.0000 0.0000 0.0000 1
O1 0.0010 0.5005 0.2507 1
```

***

No. 2
Below is a relaxed KTbMoO5 crystal, with properties calculated at the PBE+U level.

Output
**Magnetic moment**: 0.0 μB/f.u.
**Uncorrected energy**: -223.506 eV/cell

Cell and atoms, written as CIF:
```
data_KTbMoO5
_chemical_formula_sum 'K4 Tb4 Mo4 O20'
_space_group_name_H-M_alt 'C 1 2/c 1'
_space_group_IT_number 15
_space_group_name_Hall '-C 2yc'
_cell_length_a 7.776
_cell_length_b 10.196
_cell_length_c 8.161
_cell_angle_alpha 90.00
_cell_angle_beta 114.19
_cell_angle_gamma 90.00
loop_
_atom_site_label
_atom_site_fract_x
_atom_site_fract_y
_atom_site_fract_z
_atom_site_occupancy
K1 0.000 0.182 0.250 1
Tb1 0.000 0.500 0.000 1
Mo1 0.000 0.181 0.750 1
O1 0.000 0.431 0.250 1
O2 0.089 0.284 0.623 1
O3 0.182 0.076 0.901 1
```

***

No. 3
Below is a relaxed K3TbMo2O8 crystal, with properties calculated at the PBE+U level.

Output
**Magnetic moment**: 2.0 μB/f.u.
**Uncorrected energy**: -89.852 eV/cell
**Fermi-level density of states**: 6.14 states/eV/cell

Cell and atoms, written as CIF:
```
data_K3TbMo2O8
_chemical_formula_sum 'K3 Tb1 Mo2 O8'
_space_group_name_H-M_alt 'P -3 m 1'
_space_group_IT_number 164
_space_group_name_Hall '-P 3 2"'
_cell_length_a 6.1488
_cell_length_b 6.1488
_cell_length_c 7.7589
_cell_angle_alpha 90.00
_cell_angle_beta 90.00
_cell_angle_gamma 120.00
loop_
_atom_site_label
_atom_site_fract_x
_atom_site_fract_y
_atom_site_fract_z
_atom_site_occupancy
K1 0.0000 0.0000 0.0000 1
K2 0.3333 0.6667 0.6644 1
Tb1 0.0000 0.0000 0.5000 1
Mo1 0.3333 0.6667 0.2246 1
O1 0.1713 0.3426 0.3242 1
O2 0.3333 0.6667 0.9927 1
```

***

No. 4
Below is a relaxed K2Tb2MoO6 crystal, with properties calculated at the PBE+U level.

Output
**Magnetic moment**: 2.0 μB/f.u.
**Uncorrected energy**: -151.166 eV/cell
**Fermi-level density of states**: 0.00 states/eV/cell

Cell and atoms, written as CIF:
```
data_K2Tb2MoO6
_chemical_formula_sum 'K4 Tb4 Mo2 O12'
_space_group_name_H-M_alt 'C 1 2/m 1'
_space_group_IT_number 12
_space_group_name_Hall '-C 2y'
_cell_length_a 5.913
_cell_length_b 10.067
_cell_length_c 6.615
_cell_angle_alpha 90.00
_cell_angle_beta 106.47
_cell_angle_gamma 90.00
loop_
_atom_site_label
_atom_site_fract_x
_atom_site_fract_y
_atom_site_fract_z
_atom_site_occupancy
K1 0.000 0.162 0.000 1
Tb1 0.000 0.337 0.500 1
Mo1 0.000 0.000 0.500 1
O1 0.205 0.155 0.671 1
O2 0.243 0.500 0.678 1
```